[1]
DFT (PBE-GGA) results for a relaxed CaAc2Tm crystal.

Structure (extended XYZ):
```
4
Lattice="3.845 0.000 0.000 1.922 3.330 0.000 1.922 1.110 12.525" Properties=species:S:1:pos:R:3 pbc="T T T"
Ca 3.845 2.220 6.276
Ac 1.922 1.110 9.590
Ac 1.922 1.110 2.927
Tm 5.767 3.330 12.519
```

- Energy of formation: 1.37 kcal/mol of atoms
- Space group: R3m, No. 160
- Calculated density: 6.9 g cm⁻³

***

[2]
DFT (PBE-GGA) results for a relaxed CaAc3Tm crystal.

Structure (extended XYZ):
```
10
Lattice="-0.744 0.691 3.905 -6.918 -6.507 -0.169 9.438 -6.207 0.810" Properties=species:S:1:pos:R:3 pbc="T T T"
Ca 7.083 -5.224 3.819
Ca 1.838 -2.960 0.338
Ac -2.207 -8.605 2.650
Ac 4.210 -6.085 1.338
Ac -1.839 -2.538 1.644
Ac 1.579 -9.037 1.360
Ac -5.595 -5.947 1.534
Ac 0.424 -5.654 2.628
Tm -2.994 -5.183 3.978
Tm 4.254 -8.817 3.915
```

- Energy of formation: 1.22 kcal/mol of atoms
- Space group: P-1, No. 2
- Calculated density: 7.1 g cm⁻³

***

[3]
DFT (PBE-GGA) results for a relaxed Ca2Ac6Tm crystal.

Structure (extended XYZ):
```
9
Lattice="-4.952 -2.360 2.089 -0.284 -5.862 -7.295 3.791 -8.535 -0.655" Properties=species:S:1:pos:R:3 pbc="T T T"
Ca -1.686 -4.421 -0.746
Ca 0.242 -12.335 -5.116
Ac 0.352 -4.537 -4.290
Ac -3.589 -11.044 -4.491
Ac -1.797 -12.220 -1.571
Ac -1.729 -7.718 -4.570
Ac 2.145 -5.713 -1.370
Ac 0.284 -9.039 -1.291
Tm 0.000 0.000 0.000
```

- Energy of formation: 6.59 kcal/mol of atoms
- Space group: Cmmm, No. 65
- Calculated density: 6.6 g cm⁻³

***

[4]
DFT (PBE-GGA) results for a relaxed CaAc2Tm crystal.

Structure (extended XYZ):
```
4
Lattice="4.265 0.000 0.000 0.000 4.265 0.000 0.000 0.000 8.908" Properties=species:S:1:pos:R:3 pbc="T T T"
Ac 0.000 0.000 6.859
Ac 0.000 0.000 2.049
Tm 2.132 2.132 0.000
Ca 2.132 2.132 4.454
```

- Energy of formation: 1.32 kcal/mol of atoms
- Space group: P4/mmm, No. 123
- Calculated density: 6.8 g cm⁻³

***

[5]
DFT (PBE-GGA) results for a relaxed Ca2Ac5Tm crystal.

Structure (extended XYZ):
```
8
Lattice="-3.509 -3.918 1.607 4.199 -2.948 1.982 -1.461 8.490 8.094" Properties=species:S:1:pos:R:3 pbc="T T T"
Ca -0.212 -0.913 6.722
Ca -0.560 2.537 4.961
Ac 0.345 -3.433 1.794
Ac 1.252 2.363 8.495
Ac -2.602 1.879 8.307
Ac -2.024 -0.739 3.188
Ac 1.830 -0.254 3.376
Tm 0.000 0.000 0.000
```

- Energy of formation: 0.97 kcal/mol of atoms
- Space group: I4/mmm, No. 139
- Calculated density: 6.8 g cm⁻³

***

[6]
DFT (PBE-GGA) results for a relaxed CaAc5Tm crystal.

Structure (extended XYZ):
```
7
Lattice="5.830 0.000 0.000 0.000 5.830 0.000 0.000 0.000 9.267" Properties=species:S:1:pos:R:3 pbc="T T T"
Ca 0.000 0.000 0.000
Ac 2.915 2.915 0.000
Ac 2.915 0.000 2.668
Ac 0.000 2.915 2.668
Ac 2.915 0.000 6.599
Ac 0.000 2.915 6.599
Tm 0.000 0.000 4.633
```

- Energy of formation: 5.15 kcal/mol of atoms
- Space group: P4/mmm, No. 123
- Calculated density: 7.1 g cm⁻³

***

[7]
DFT (PBE-GGA) results for a relaxed CaAc4Tm crystal.

Structure (extended XYZ):
```
6
Lattice="-7.155 1.173 0.164 -3.926 -2.315 5.641 -2.784 4.783 4.688" Properties=species:S:1:pos:R:3 pbc="T T T"
Ac -7.277 -0.134 4.204
Ac -6.701 3.449 3.723
Ac -8.682 2.280 6.570
Ac -5.071 1.688 6.488
Tm 0.000 0.000 0.000
Ca -3.466 0.910 2.623
```

- Energy of formation: 7.33 kcal/mol of atoms
- Space group: F-43m, No. 216
- Calculated density: 6.9 g cm⁻³

***

[8]
DFT (PBE-GGA) results for a relaxed CaAc8Tm2 crystal.

Structure (extended XYZ):
```
11
Lattice="10.418 -1.551 2.601 0.923 6.828 0.754 1.615 -0.026 6.755" Properties=species:S:1:pos:R:3 pbc="T T T"
Ca 0.000 0.000 0.000
Tm 1.583 2.827 1.541
Tm 11.373 2.423 8.569
Ac 9.832 -0.407 6.615
Ac 6.367 1.110 7.511
Ac 7.324 0.410 3.683
Ac 5.632 4.841 6.426
Ac 6.589 4.140 2.599
Ac 3.124 5.658 3.495
Ac 3.768 2.023 4.498
Ac 9.188 3.227 5.612
```

- Energy of formation: 1.56 kcal/mol of atoms
- Space group: P-1, No. 2
- Calculated density: 7.9 g cm⁻³